[1]
Entry from Alexandria via LeMat-Bulk: DyHoTlGa after structural relaxation (PBE).

Values from the calculation:
- calculated volume (Å³/atom) = 25.04
- energy above the lowest structure with this stoichiometry (meV/atom) = 29
- energy relative to the elements (eV/atom) = -0.425
- magnetization (μB/cell) = 0.00

a = 5.2129 Å, b = 5.2129 Å, c = 5.2129 Å
α = 60.00°, β = 60.00°, γ = 60.00°
Last column: nearest neighbours and their distance in Å.
Element x y z (fractional)
1 Ga 0.2500 0.2500 0.2500  4 Dy 3.19, 4 Ho 3.19
2 Dy 0.5000 0.5000 0.5000  4 Tl 3.19, 4 Ga 3.19
3 Tl 0.7500 0.7500 0.7500  4 Ho 3.19, 4 Dy 3.19
4 Ho 0.0000 0.0000 0.0000  4 Tl 3.19, 4 Ga 3.19

***

[2]
Entry from Alexandria via LeMat-Bulk: LaTc3S after structural relaxation (PBE).

Values from the calculation:
- uncorrected formation energy (eV/atom) = 2.375
- calculated volume (Å³/atom) = 23.05
- energy above the lowest structure with this stoichiometry (meV/atom) = 2267
- magnetization (μB/cell) = 6.09

a = 4.8666 Å, b = 4.8666 Å, c = 4.8666 Å
α = 90.00°, β = 90.00°, γ = 90.00°
Last column: nearest neighbours and their distance in Å.
Element x y z (fractional)
1 Tc 0.0000 0.0000 0.5000  2 La 2.43
2 Tc 0.0000 0.5000 0.0000  2 La 2.43
3 La 0.0000 0.0000 0.0000  6 Tc 2.43
4 Tc 0.5000 0.0000 0.0000  2 La 2.43
5 S 0.5000 0.5000 0.5000  12 Tc 3.44